Record 1
Density functional theory data (PBE) for crystalline In2Co2Ge at its relaxed geometry.

Cell: 6.2761 6.2761 4.0937 Å, 90.00 90.00 90.00°
Fractional positions:
Ge 0.0000 0.0000 0.0000
Ge 0.5000 0.5000 0.0000
Co 0.3490 0.8490 0.0000
Co 0.8490 0.6510 0.0000
Co 0.6510 0.1510 0.0000
Co 0.1510 0.3490 0.0000
In 0.1611 0.6611 0.5000
In 0.6611 0.8389 0.5000
In 0.8389 0.3389 0.5000
In 0.3389 0.1611 0.5000

Values from the calculation:
**Energy of formation**: 57 meV per atom
**Crystal system**: tetragonal
**DOS at the Fermi energy**: 8.0 states/eV/cell

---

Record 2
Density functional theory data (PBE) for crystalline In3CoGe at its relaxed geometry.

Cell: 5.3139 5.3139 5.3139 Å, 90.00 90.00 90.00°
Fractional positions:
Ge 0.0000 0.0000 0.0000
Co 0.5000 0.5000 0.5000
In 0.0000 0.5000 0.0000
In 0.0000 0.0000 0.5000
In 0.5000 0.0000 0.0000

Values from the calculation:
**Energy of formation**: 968 meV per atom
**Crystal system**: cubic
**DOS at the Fermi energy**: 6.9 states/eV/cell

---

Record 3
Density functional theory data (PBE) for crystalline InCoGe3 at its relaxed geometry.

Cell: 4.6464 4.6464 4.6464 Å, 90.00 90.00 90.00°
Fractional positions:
Ge 0.0000 0.5000 0.0000
Ge 0.0000 0.0000 0.5000
Ge 0.5000 0.0000 0.0000
Co 0.0000 0.0000 0.0000
In 0.5000 0.5000 0.5000

Values from the calculation:
**Energy of formation**: 159 meV per atom
**Crystal system**: cubic
**DOS at the Fermi energy**: 2.8 states/eV/cell

---

Record 4
Density functional theory data (PBE) for crystalline KInCoGe2 at its relaxed geometry.

Cell: 5.2860 6.1300 5.2860 Å, 90.00 90.00 90.00°
Fractional positions:
Ge 0.0000 0.0000 0.5000
Ge 0.5000 0.0000 0.0000
Co 0.5000 0.5000 0.5000
K 0.0000 0.5000 0.0000
In 0.0000 0.0000 0.0000

Values from the calculation:
**Energy of formation**: 1238 meV per atom
**Crystal system**: tetragonal
**DOS at the Fermi energy**: 9.1 states/eV/cell